Record 1
Here is an optimized crystal structure of Tb3Y4Tm from Alexandria via LeMat-Bulk. Energies are from PBE.

Summary:
DFT formation energy, eV/atom: 0.19

```
data_Tb3Y4Tm
_cell_length_a 5.621
_cell_length_b 26.236
_cell_length_c 3.560
_cell_angle_alpha 90.00
_cell_angle_beta 90.00
_cell_angle_gamma 90.00
_symmetry_space_group_name_H-M 'C m m m'
_symmetry_Int_Tables_number 65
_symmetry_space_group_name_Hall '-C 2 2'
loop_
_atom_site_label
_atom_site_fract_x
_atom_site_fract_y
_atom_site_fract_z
Tb1 0.000 0.000 0.000
Tb2 0.000 0.155 0.500
Y1 0.000 0.277 0.000
Y2 0.000 0.398 0.000
Tm1 0.000 0.500 0.500
```



Record 2
Here is an optimized crystal structure of Cs2TlAuO from Alexandria via LeMat-Bulk. Energies are from PBE.

Summary:
Uncorrected formation energy, eV/f.u.: -2.51

```
data_Cs2TlAuO
_cell_length_a 6.150
_cell_length_b 6.150
_cell_length_c 4.938
_cell_angle_alpha 90.00
_cell_angle_beta 90.00
_cell_angle_gamma 90.00
_symmetry_space_group_name_H-M 'P 4/m m m'
_symmetry_Int_Tables_number 123
_symmetry_space_group_name_Hall '-P 4 2'
loop_
_atom_site_label
_atom_site_fract_x
_atom_site_fract_y
_atom_site_fract_z
Cs1 0.000 0.500 0.000
Tl1 0.000 0.000 0.500
Au1 0.500 0.500 0.500
O1 0.000 0.000 0.000
```



Number 1: D(E_F) 23.22 states/eV per cell, magnetization 0.000 μB per formula unit. Number 2: D(E_F) 1.68 states/eV per cell, magnetization 0.254 μB per formula unit.